(1)
A plane-wave DFT calculation with PBE was carried out for crystalline Be2ZnW at its relaxed geometry.

The total magnetization comes out at 1.31 Bohr magnetons per cell. The calculated total energy is -19.4 eV per cell. Its space group is No. 216. The calculation puts the formation energy from the elements at 55.8 kJ per mole of atoms. The density of states at the Fermi level comes out at 1.688 states/eV per cell.

Cell lengths 4.1143, 4.1143, 4.1143 Å; angles 60.00, 60.00, 60.00 degrees
Element x y z (fractional)
Be 0.0000 0.0000 0.0000
Be 0.2500 0.2500 0.2500
Zn 0.7500 0.7500 0.7500
W 0.5000 0.5000 0.5000

---

(2)
A plane-wave DFT calculation with PBE was carried out for crystalline Mn2RhPb at its relaxed geometry.

The total magnetization comes out at 8.11 Bohr magnetons per cell. The calculated total energy is -28.4 eV per cell. Its space group is No. 25. The calculation puts the formation energy from the elements at 23.0 kJ per mole of atoms. The density of states at the Fermi level comes out at 2.202 states/eV per cell.

Cell lengths 4.5085, 3.1573, 4.8357 Å; angles 89.95, 90.00, 90.00 degrees
Element x y z (fractional)
Mn 0.0000 0.1241 0.9399
Mn 0.5000 0.1260 0.2826
Pb 0.0000 0.6251 0.4531
Rh 0.5000 0.6248 0.8245

---

(3)
A plane-wave DFT calculation with PBE was carried out for crystalline PaAl3Co at its relaxed geometry.

The total magnetization comes out at 0.00 Bohr magnetons per cell. The calculated total energy is -120.0 eV per cell. Its space group is No. 62. The calculation puts the formation energy from the elements at -41.8 kJ per mole of atoms. The density of states at the Fermi level comes out at 13.480 states/eV per cell.

Cell lengths 3.9691, 8.0989, 10.6654 Å; angles 90.00, 90.00, 90.00 degrees
Element x y z (fractional)
Pa 0.7500 0.8191 0.9986
Pa 0.2500 0.6809 0.4986
Pa 0.7500 0.3191 0.5014
Pa 0.2500 0.1809 0.0014
Al 0.2500 0.5505 0.0843
Al 0.7500 0.4495 0.9157
Al 0.2500 0.0505 0.4157
Al 0.7500 0.9495 0.5843
Al 0.2500 0.4006 0.7213
Al 0.7500 0.0994 0.2213
Al 0.2500 0.9006 0.7787
Al 0.7500 0.6497 0.7196
Al 0.2500 0.3503 0.2804
Al 0.7500 0.1497 0.7804
Al 0.7500 0.5994 0.2787
Al 0.2500 0.8503 0.2196
Co 0.2500 0.1279 0.6364
Co 0.2500 0.6279 0.8636
Co 0.7500 0.3721 0.1364
Co 0.7500 0.8721 0.3636

---

(4)
A plane-wave DFT calculation with PBE was carried out for crystalline ZnCrIn2 at its relaxed geometry.

The total magnetization comes out at 3.59 Bohr magnetons per cell. The calculated total energy is -15.0 eV per cell. Its space group is No. 10. The calculation puts the formation energy from the elements at 32.3 kJ per mole of atoms. The density of states at the Fermi level comes out at 1.831 states/eV per cell.

Cell lengths 4.3772, 3.0640, 6.1109 Å; angles 89.88, 90.00, 90.00 degrees
Element x y z (fractional)
Cr 0.5000 0.7500 0.7500
In 0.0000 0.2492 0.9882
In 0.0000 0.2508 0.5118
Zn 0.5000 0.2500 0.2500

---

(5)
A plane-wave DFT calculation with PBE was carried out for crystalline Zr2CoSbH at its relaxed geometry.

The total magnetization comes out at 1.21 Bohr magnetons per cell. The calculated total energy is -33.5 eV per cell. Its space group is No. 123. The density of states at the Fermi level comes out at 3.040 states/eV per cell.

Cell lengths 4.3766, 4.3766, 4.0668 Å; angles 90.00, 90.00, 90.00 degrees
Element x y z (fractional)
Sb 0.5000 0.5000 0.5000
Co 0.0000 0.0000 0.5000
Zr 0.0000 0.5000 0.0000
Zr 0.5000 0.0000 0.0000
H 0.0000 0.0000 0.0000

---

(6)
A plane-wave DFT calculation with PBE was carried out for crystalline ZrCd4Ag at its relaxed geometry.

The total magnetization comes out at 0.00 Bohr magnetons per cell. The calculated total energy is -14.0 eV per cell. Its space group is No. 216. The value obtained for the energy above the most stable polymorph in this dataset is 0.246 eV/atom. The calculation puts the formation energy from the elements at 16.9 kJ per mole of atoms. The density of states at the Fermi level comes out at 4.598 states/eV per cell.

Cell lengths 5.6847, 5.6847, 5.6847 Å; angles 60.00, 60.00, 60.00 degrees
Element x y z (fractional)
Zr 0.7500 0.7500 0.7500
Cd 0.8738 0.3754 0.3754
Cd 0.3754 0.3754 0.8738
Cd 0.3754 0.8738 0.3754
Cd 0.3754 0.3754 0.3754
Ag 0.0000 0.0000 0.0000

---

(7)
A plane-wave DFT calculation with PBE was carried out for crystalline LiCo2Ag at its relaxed geometry.

The total magnetization comes out at 3.07 Bohr magnetons per cell. The calculated total energy is -18.1 eV per cell. Its space group is No. 8. The calculation puts the formation energy from the elements at 21.9 kJ per mole of atoms. The density of states at the Fermi level comes out at 2.858 states/eV per cell.

Cell lengths 4.3792, 4.3792, 4.8919 Å; angles 82.62, 82.62, 34.61 degrees
Element x y z (fractional)
Ag 0.7458 0.7458 0.7283
Co 0.9966 0.9966 0.0523
Co 0.2571 0.2571 0.2153
Li 0.5006 0.5006 0.5041

---

(8)
A plane-wave DFT calculation with PBE was carried out for crystalline MnCu2Sn at its relaxed geometry.

The total magnetization comes out at 3.11 Bohr magnetons per cell. The calculated total energy is -21.1 eV per cell. Its space group is No. 123. The calculation puts the formation energy from the elements at 7.6 kJ per mole of atoms. The density of states at the Fermi level comes out at 2.752 states/eV per cell.

Cell lengths 3.9473, 3.8776, 3.8776 Å; angles 90.00, 90.00, 90.00 degrees
Element x y z (fractional)
Mn 0.5000 0.5000 0.5000
Sn 0.5000 0.0000 0.0000
Cu 0.0000 0.0000 0.5000
Cu 0.0000 0.5000 0.0000